Entry 1:
# HoBiH2, optimized geometry, DFT PBE
data_HoBiH2
_chemical_formula_sum 'Ho4 Bi4 H8'
_space_group_name_H-M_alt 'C m c m'
_space_group_IT_number 63
_space_group_name_Hall '-C 2c 2'
_cell_length_a 3.515
_cell_length_b 12.325
_cell_length_c 6.251
_cell_angle_alpha 90.00
_cell_angle_beta 90.00
_cell_angle_gamma 90.00
loop_
_atom_site_label
_atom_site_type_symbol
_atom_site_fract_x
_atom_site_fract_y
_atom_site_fract_z
_atom_site_occupancy
Ho1 Ho 0.000 0.229 0.250 1
Bi1 Bi 0.000 0.041 0.750 1
H1 H 0.000 0.304 0.560 1
# calculated total energy	-4.330	eV per atom
# DOS(E_F)	0.0698	states/eV per atom
# M_tot	0.00	μB per cell

=====

Entry 2:
# Ho4Bi2H, optimized geometry, DFT PBE
data_Ho4Bi2H
_chemical_formula_sum 'Ho8 Bi4 H2'
_space_group_name_H-M_alt 'I 4/m m m'
_space_group_IT_number 139
_space_group_name_Hall '-I 4 2'
_cell_length_a 4.506
_cell_length_b 4.506
_cell_length_c 17.153
_cell_angle_alpha 90.00
_cell_angle_beta 90.00
_cell_angle_gamma 90.00
loop_
_atom_site_label
_atom_site_type_symbol
_atom_site_fract_x
_atom_site_fract_y
_atom_site_fract_z
_atom_site_occupancy
Ho1 Ho 0.000 0.000 0.176 1
Ho2 Ho 0.000 0.500 0.000 1
Bi1 Bi 0.000 0.000 0.361 1
H1 H 0.000 0.000 0.000 1
# calculated total energy	-4.777	eV per atom
# DOS(E_F)	0.8414	states/eV per atom
# M_tot	0.00	μB per cell

=====

Entry 3:
# Ho2BiH2, optimized geometry, DFT PBE
data_Ho2BiH2
_chemical_formula_sum 'Ho4 Bi2 H4'
_space_group_name_H-M_alt 'C 1 2/m 1'
_space_group_IT_number 12
_space_group_name_Hall '-C 2y'
_cell_length_a 5.596
_cell_length_b 5.573
_cell_length_c 6.358
_cell_angle_alpha 90.00
_cell_angle_beta 115.95
_cell_angle_gamma 90.00
loop_
_atom_site_label
_atom_site_type_symbol
_atom_site_fract_x
_atom_site_fract_y
_atom_site_fract_z
_atom_site_occupancy
Ho1 Ho 0.152 0.000 0.304 1
Bi1 Bi 0.000 0.500 0.000 1
H1 H 0.000 0.250 0.500 1
# calculated total energy	-4.631	eV per atom
# DOS(E_F)	0.3411	states/eV per atom
# M_tot	0.00	μB per cell

=====

Entry 4:
# Ho2Bi2H, optimized geometry, DFT PBE
data_Ho2Bi2H
_chemical_formula_sum 'Ho8 Bi8 H4'
_space_group_name_H-M_alt 'C m c 21'
_space_group_IT_number 36
_space_group_name_Hall 'C 2c -2'
_cell_length_a 4.306
_cell_length_b 15.723
_cell_length_c 7.774
_cell_angle_alpha 90.00
_cell_angle_beta 90.00
_cell_angle_gamma 90.00
loop_
_atom_site_label
_atom_site_type_symbol
_atom_site_fract_x
_atom_site_fract_y
_atom_site_fract_z
_atom_site_occupancy
Ho1 Ho 0.000 0.070 0.000 1
Ho2 Ho 0.000 0.353 0.846 1
Bi1 Bi 0.000 0.282 0.470 1
Bi2 Bi 0.000 0.454 0.192 1
H1 H 0.000 0.114 0.266 1
# calculated total energy	-4.619	eV per atom
# DOS(E_F)	0.7136	states/eV per atom
# M_tot	0.00	μB per cell

=====

Entry 5:
# Ho3BiH2, optimized geometry, DFT PBE
data_Ho3BiH2
_chemical_formula_sum 'Ho12 Bi4 H8'
_space_group_name_H-M_alt 'C 1 2/m 1'
_space_group_IT_number 12
_space_group_name_Hall '-C 2y'
_cell_length_a 21.981
_cell_length_b 3.959
_cell_length_c 6.172
_cell_angle_alpha 90.00
_cell_angle_beta 104.19
_cell_angle_gamma 90.00
loop_
_atom_site_label
_atom_site_type_symbol
_atom_site_fract_x
_atom_site_fract_y
_atom_site_fract_z
_atom_site_occupancy
Ho1 Ho 0.039 0.000 0.276 1
Ho2 Ho 0.100 0.500 0.857 1
Ho3 Ho 0.230 0.000 0.206 1
Bi1 Bi 0.151 0.500 0.413 1
H1 H 0.059 0.000 0.933 1
H2 H 0.208 0.500 0.018 1
# calculated total energy	-4.544	eV per atom
# DOS(E_F)	0.6869	states/eV per atom
# M_tot	0.00	μB per cell

=====

Entry 6:
# HoBiH2, optimized geometry, DFT PBE
data_HoBiH2
_chemical_formula_sum 'Ho3 Bi3 H6'
_space_group_name_H-M_alt 'R -3 m'
_space_group_IT_number 166
_space_group_name_Hall '-R 3 2"'
_cell_length_a 3.6031
_cell_length_b 3.6031
_cell_length_c 17.4626
_cell_angle_alpha 90.00
_cell_angle_beta 90.00
_cell_angle_gamma 120.00
loop_
_atom_site_label
_atom_site_type_symbol
_atom_site_fract_x
_atom_site_fract_y
_atom_site_fract_z
_atom_site_occupancy
Ho1 Ho 0.0000 0.0000 0.0000 1
Bi1 Bi 0.0000 0.0000 0.5000 1
H1 H 0.0000 0.0000 0.3066 1
# calculated total energy	-4.269	eV per atom
# DOS(E_F)	0.2211	states/eV per atom
# M_tot	0.00	μB per cell

=====

Entry 7:
# Ho2BiH, optimized geometry, DFT PBE
data_Ho2BiH
_chemical_formula_sum 'Ho8 Bi4 H4'
_space_group_name_H-M_alt 'P 1 21/c 1'
_space_group_IT_number 14
_space_group_name_Hall '-P 2ybc'
_cell_length_a 7.634
_cell_length_b 6.350
_cell_length_c 7.624
_cell_angle_alpha 90.00
_cell_angle_beta 99.45
_cell_angle_gamma 90.00
loop_
_atom_site_label
_atom_site_type_symbol
_atom_site_fract_x
_atom_site_fract_y
_atom_site_fract_z
_atom_site_occupancy
Ho1 Ho 0.046 0.128 0.319 1
Ho2 Ho 0.318 0.654 0.516 1
Bi1 Bi 0.342 0.129 0.663 1
H1 H 0.189 0.668 0.763 1
# calculated total energy	-4.704	eV per atom
# DOS(E_F)	0.5245	states/eV per atom
# M_tot	0.00	μB per cell

=====

Entry 8:
# HoBiH, optimized geometry, DFT PBE
data_HoBiH
_chemical_formula_sum 'Ho2 Bi2 H2'
_space_group_name_H-M_alt 'I 4 m m'
_space_group_IT_number 107
_space_group_name_Hall 'I 4 -2'
_cell_length_a 3.305
_cell_length_b 3.305
_cell_length_c 11.500
_cell_angle_alpha 90.00
_cell_angle_beta 90.00
_cell_angle_gamma 90.00
loop_
_atom_site_label
_atom_site_type_symbol
_atom_site_fract_x
_atom_site_fract_y
_atom_site_fract_z
_atom_site_occupancy
Ho1 Ho 0.000 0.000 0.000 1
Bi1 Bi 0.000 0.000 0.282 1
H1 H 0.000 0.000 0.546 1
# calculated total energy	-4.285	eV per atom
# DOS(E_F)	0.5679	states/eV per atom
# M_tot	0.00	μB per cell

=====

Entry 9:
# HoBiH6Ir2, optimized geometry, DFT PBE
data_HoBiH6Ir2
_chemical_formula_sum 'Ho4 Bi4 H24 Ir8'
_space_group_name_H-M_alt 'C m c m'
_space_group_IT_number 63
_space_group_name_Hall '-C 2c 2'
_cell_length_a 8.144
_cell_length_b 12.490
_cell_length_c 4.515
_cell_angle_alpha 90.00
_cell_angle_beta 90.00
_cell_angle_gamma 90.00
loop_
_atom_site_label
_atom_site_type_symbol
_atom_site_fract_x
_atom_site_fract_y
_atom_site_fract_z
_atom_site_occupancy
Ho1 Ho 0.000 0.140 0.250 1
Bi1 Bi 0.000 0.405 0.750 1
H1 H 0.128 0.000 0.000 1
H2 H 0.242 0.181 0.519 1
Ir1 Ir 0.240 0.081 0.750 1
# calculated total energy	-4.829	eV per atom
# DOS(E_F)	0.1300	states/eV per atom
# M_tot	0.00	μB per cell

=====

Entry 10:
# Ho2BiHN, optimized geometry, DFT PBE
data_Ho2BiHN
_chemical_formula_sum 'Ho4 Bi2 H2 N2'
_space_group_name_H-M_alt 'I -4 m 2'
_space_group_IT_number 119
_space_group_name_Hall 'I -4 -2'
_cell_length_a 3.757
_cell_length_b 3.757
_cell_length_c 13.763
_cell_angle_alpha 90.00
_cell_angle_beta 90.00
_cell_angle_gamma 90.00
loop_
_atom_site_label
_atom_site_type_symbol
_atom_site_fract_x
_atom_site_fract_y
_atom_site_fract_z
_atom_site_occupancy
Ho1 Ho 0.000 0.000 0.163 1
Bi1 Bi 0.000 0.000 0.500 1
H1 H 0.000 0.500 0.250 1
N1 N 0.000 0.500 0.750 1
# calculated total energy	-6.015	eV per atom
# DOS(E_F)	0.2623	states/eV per atom
# M_tot	0.00	μB per cell

=====

Entry 11:
# Bi3HI, optimized geometry, DFT PBE
data_Bi3HI
_chemical_formula_sum 'Bi3 H1 I1'
_space_group_name_H-M_alt 'P m -3 m'
_space_group_IT_number 221
_space_group_name_Hall '-P 4 2 3'
_cell_length_a 5.090
_cell_length_b 5.090
_cell_length_c 5.090
_cell_angle_alpha 90.00
_cell_angle_beta 90.00
_cell_angle_gamma 90.00
loop_
_atom_site_label
_atom_site_type_symbol
_atom_site_fract_x
_atom_site_fract_y
_atom_site_fract_z
_atom_site_occupancy
Bi1 Bi 0.000 0.000 0.500 1
H1 H 0.000 0.000 0.000 1
I1 I 0.500 0.500 0.500 1
# calculated total energy	-2.842	eV per atom
# DOS(E_F)	0.7787	states/eV per atom
# M_tot	0.00	μB per cell

=====

Entry 12:
# Bi4H2I, optimized geometry, DFT PBE
data_Bi4H2I
_chemical_formula_sum 'Bi8 H4 I2'
_space_group_name_H-M_alt 'I 4/m m m'
_space_group_IT_number 139
_space_group_name_Hall '-I 4 2'
_cell_length_a 6.065
_cell_length_b 6.065
_cell_length_c 12.465
_cell_angle_alpha 90.00
_cell_angle_beta 90.00
_cell_angle_gamma 90.00
loop_
_atom_site_label
_atom_site_type_symbol
_atom_site_fract_x
_atom_site_fract_y
_atom_site_fract_z
_atom_site_occupancy
Bi1 Bi 0.000 0.000 0.186 1
Bi2 Bi 0.000 0.500 0.000 1
H1 H 0.000 0.000 0.037 1
I1 I 0.000 0.000 0.500 1
# calculated total energy	-2.787	eV per atom
# DOS(E_F)	0.8089	states/eV per atom
# M_tot	0.69	μB per cell